Entry w
This record from Alexandria via LeMat-Bulk describes a geometry-optimized BaCdP2Cl structure. The functional is PBE-GGA.

Output
* Fermi-level density of states: 0.9822 states/eV/atom
* mass density: 4.1 Mg/m³

```
BaCdP2Cl
1.0
-1.091 4.689 1.090
-4.791 -0.951 -0.709
-0.546 -1.431 5.610
P Cl Ba Cd
2 1 1 1
Direct
0.000 0.500 0.000
0.500 0.000 0.000
0.000 0.000 0.500
0.500 0.500 0.500
0.000 0.000 0.000
```



Entry x
This record from Alexandria via LeMat-Bulk describes a geometry-optimized BaCdP2Cl structure. The functional is PBE-GGA.

Output
* Fermi-level density of states: 0.3557 states/eV/atom
* mass density: 2.3 Mg/m³

```
BaCdP2Cl
1.0
6.542 0.000 0.000
0.000 6.542 0.000
0.000 0.000 5.917
P Cl Ba Cd
2 1 1 1
Direct
0.000 0.500 0.000
0.500 0.000 0.000
0.000 0.000 0.500
0.000 0.000 0.000
0.500 0.500 0.500
```



Stability ranking, top and bottom: entry w is the most stable and entry x is the least stable.